No. 1
Entry from the Alexandria database: a relaxed structure of AlCdAg2 (PBEsol).

Cell: 3.190 3.192 6.622 Å, 90.00 90.00 90.00°
Positions (direct):
Ag  0.000  0.000  0.225
Ag  0.000  0.000  0.775
Al  0.500  0.500  0.000
Cd  0.500  0.500  0.500

Summary:
Crystal system: tetragonal
Density: 8.7 g/cm3
Uncorrected energy: -3.0509 eV/atom

No. 2
Entry from the Alexandria database: a relaxed structure of AlCdAg (PBEsol).

Cell: 3.213 3.888 4.932 Å, 113.22 109.01 90.00°
Positions (direct):
Ag  0.003  0.003  0.006
Cd  0.334  0.334  0.669
Al  0.663  0.663  0.325

Summary:
E above lowest polymorph: 20 meV per atom
Crystal system: orthorhombic
Density: 7.8 g/cm3
Uncorrected energy: -2.8520 eV/atom

No. 3
Entry from the Alexandria database: a relaxed structure of AlCd2Ag (PBEsol).

Cell: 2.986 2.986 9.729 Å, 81.17 81.17 60.00°
Positions (direct):
Cd  0.752  0.752  0.745
Cd  0.248  0.248  0.255
Al  0.000  0.000  0.000
Ag  0.500  0.500  0.500

Summary:
Crystal system: trigonal
Density: 8.1 g/cm3
Uncorrected energy: -2.4176 eV/atom

Number 1: total magnetic moment 0.0000 μB/atom, N(E_F) 0.788 states/eV/f.u., formation energy -0.073 eV/atom. Number 2: total magnetic moment 0.0000 μB/atom, N(E_F) 0.716 states/eV/f.u., formation energy 0.015 eV/atom. Number 3: total magnetic moment 0.0000 μB/atom, N(E_F) 1.192 states/eV/f.u., formation energy 0.032 eV/atom.